# 1
{"formula": "K2TlHg", "functional": "SCAN", "state": "PBEsol geometry", "cell": [[4.0053, 0.0000, 0.0000], [0.0000, 4.0959, 0.0000], [0.0000, 0.0000, 9.3336]], "species": ["K", "K", "Tl", "Hg"], "fractional_positions": [[0.0000, 0.0000, 0.0000], [0.5000, 0.5000, 0.3928], [0.0000, 0.0000, 0.6297], [0.5000, 0.5000, 0.7748]], "de_polymorph_mev_per_atom": 63, "total_magnetization_mub_per_cell": 0.0, "space_group": "Pmm2", "vol_a3_per_atom": 38.28, "energy_ev_per_atom": -39.466, "n_ef_per_ev_atom": 0.594}

# 2
{"formula": "Sc2Ir", "functional": "SCAN", "state": "PBEsol geometry", "cell": [[4.4603, 0.0000, 0.0000], [-2.2302, 3.8628, 0.0000], [0.0000, 0.0000, 3.0664]], "species": ["Sc", "Sc", "Ir"], "fractional_positions": [[0.3333, 0.6667, 0.3007], [0.6667, 0.3333, 0.6993], [0.0000, 0.0000, 0.0000]], "total_magnetization_mub_per_cell": 0.0, "space_group": "P-3m1", "vol_a3_per_atom": 17.61, "energy_ev_per_atom": -33.923, "n_ef_per_ev_atom": 1.119}